Density functional theory data (GGA+U) for a relaxed structure of TaCrI2O.

Cell: 5.7948 5.7948 3.8998 Å, 90.00 90.00 90.00°
Fractional coordinates of all 5 atoms:
Ta 0.0000 0.0000 0.0000
Cr 0.5000 0.5000 0.5000
I 0.0000 0.5000 0.0000
I 0.5000 0.0000 0.0000
O 0.0000 0.0000 0.5000

Summary:
* relative energy among the computed polymorphs: 0 meV per atom